1.
Computed, not measured: a relaxed structure of Nd3TmGa2 at the PBE level of DFT.

Values from the calculation:
The calculation puts the volume at 675.75 Å³ per cell. For the density of states at the Fermi level, the calculation gives 0.61 states/eV/atom. The formation enthalpy at 0 K comes out at -0.36 eV per atom.

Cell lengths 16.5484, 5.1344, 8.0296 Å; angles 90.00, 97.91, 90.00 degrees
Last column: nearest neighbours and their distance in Å.
Space group C2/m (No. 12)
Inequivalent atoms, fractional coordinates:
1 Nd 0.0572 0.0000 0.3219 [4 per cell]  3 Ga 2.98-3.12
2 Nd 0.1210 0.5000 0.0343 [4 per cell]  4 Ga 3.10-3.27, 2 Tm 3.42
3 Nd 0.1809 0.5000 0.4974 [4 per cell]  2 Ga 2.97-2.98
4 Tm 0.1645 0.0000 0.7794 [4 per cell]  5 Ga 3.09-3.40, 4 Nd 3.42-3.46
5 Ga 0.0330 0.5000 0.6683 [4 per cell]  1 Ga 2.77, 4 Nd 2.97-3.10
6 Ga 0.2193 0.0000 0.1638 [4 per cell]  5 Nd 2.98-3.27, 3 Tm 3.09-3.20

---

2.
Computed, not measured: a relaxed structure of NdTmGa at the PBE level of DFT.

Values from the calculation:
The calculation puts the volume at 349.23 Å³ per cell. For the density of states at the Fermi level, the calculation gives 1.03 states/eV/atom. The formation enthalpy at 0 K comes out at -0.24 eV per atom.

Cell lengths 11.9553, 3.5965, 8.4492 Å; angles 90.00, 106.00, 90.00 degrees
Last column: nearest neighbours and their distance in Å.
Space group C2/m (No. 12)
Inequivalent atoms, fractional coordinates:
1 Nd 0.1094 0.0000 0.3395 [4 per cell]  3 Ga 3.10-3.14
2 Tm 0.1273 0.5000 0.9616 [4 per cell]  3 Ga 2.95-2.97, 1 Tm 3.28
3 Ga 0.1911 0.0000 0.7212 [4 per cell]  3 Tm 2.95-2.97, 3 Nd 3.10-3.14

---

3.
Computed, not measured: a relaxed structure of NdTm2Ga at the PBE level of DFT.

Values from the calculation:
The calculation puts the volume at 457.80 Å³ per cell. For the density of states at the Fermi level, the calculation gives 1.21 states/eV/atom. The formation enthalpy at 0 K comes out at -0.25 eV per atom.

Cell lengths 4.3259, 12.0765, 8.7631 Å; angles 90.00, 90.00, 90.00 degrees
Last column: nearest neighbours and their distance in Å.
Space group Cmcm (No. 63)
Inequivalent atoms, fractional coordinates:
1 Nd 0.0000 0.0588 0.2500 [4 per cell]  2 Ga 3.20
2 Tm 0.0000 0.3549 0.0554 [8 per cell]  3 Ga 2.98-3.01
3 Ga 0.0000 0.2456 0.7500 [4 per cell]  6 Tm 2.98-3.01, 2 Nd 3.20

---

Copy entry 3 word for word.
Computed, not measured: a relaxed structure of NdTm2Ga at the PBE level of DFT.

Values from the calculation:
The calculation puts the volume at 457.80 Å³ per cell. For the density of states at the Fermi level, the calculation gives 1.21 states/eV/atom. The formation enthalpy at 0 K comes out at -0.25 eV per atom.

Cell lengths 4.3259, 12.0765, 8.7631 Å; angles 90.00, 90.00, 90.00 degrees
Last column: nearest neighbours and their distance in Å.
Space group Cmcm (No. 63)
Inequivalent atoms, fractional coordinates:
1 Nd 0.0000 0.0588 0.2500 [4 per cell]  2 Ga 3.20
2 Tm 0.0000 0.3549 0.0554 [8 per cell]  3 Ga 2.98-3.01
3 Ga 0.0000 0.2456 0.7500 [4 per cell]  6 Tm 2.98-3.01, 2 Nd 3.20

---

Which of these has the lowest formation enthalpy at 0 K?
Nd3TmGa2

---

The lowest formation enthalpy at 0 K belongs to which entry?
Nd3TmGa2

---

formation enthalpy at 0 K of number 2 (NdTmGa)?
-0.24 eV per atom